A plane-wave DFT calculation with PBE was carried out for a relaxed Ag3AsCl2F6 crystal.

The structure in POSCAR format:
```
Ag3AsCl2F6
1.0
4.934 0.000 -0.141
0.000 6.908 0.000
-0.936 -3.454 6.881
Ag As Cl F
3 1 2 6
Direct
0.000 0.500 0.000 Ag
0.500 0.500 0.500 Ag
0.500 0.000 0.500 Ag
0.500 0.000 0.000 As
0.172 0.680 0.360 Cl
0.828 0.320 0.640 Cl
0.708 0.248 0.130 F
0.292 0.752 0.870 F
0.711 0.908 0.816 F
0.289 0.092 0.184 F
0.292 0.118 0.870 F
0.708 0.882 0.130 F
```

Summary:
E_form (uncorrected): -1.4196 eV/atom

A plane-wave DFT calculation with PBE was carried out for a relaxed Mg2GaCu2 crystal.

The structure in POSCAR format:
```
Mg2GaCu2
1.0
4.023 0.000 0.000
0.000 4.023 0.000
2.011 2.011 5.724
Mg Cu Ga
2 2 1
Direct
0.750 0.250 0.500 Mg
0.250 0.750 0.500 Mg
0.399 0.399 0.202 Cu
0.601 0.601 0.798 Cu
0.000 0.000 0.000 Ga
```

Summary:
Energy relative to the elements: 0.198 eV/atom

A plane-wave DFT calculation with PBE was carried out for a relaxed Nb3AsC crystal.

The structure in POSCAR format:
```
Nb3AsC
1.0
4.297 0.000 0.000
0.000 4.297 0.000
0.000 0.000 4.297
C Nb As
1 3 1
Direct
0.000 0.000 0.000 C
0.000 0.500 0.000 Nb
0.000 0.000 0.500 Nb
0.500 0.000 0.000 Nb
0.500 0.500 0.500 As
```

Summary:
Energy relative to the elements: -0.055 eV/atom

Number 1: total magnetization 0.0 μB per formula unit, N(E_F) 0.000 states/eV per cell. Number 2: total magnetization 0.0 μB per formula unit, N(E_F) 1.925 states/eV per cell. Number 3: total magnetization 0.0 μB per formula unit, N(E_F) 6.452 states/eV per cell.